No. 1
The following is a PBE-GGA calculation of an optimized crystal structure of Tb2DyY5Ho, from Alexandria via LeMat-Bulk.

The structure in POSCAR format:
```
Tb2DyY5Ho
1.0
-4.365 4.365 7.632
4.365 -4.365 7.632
4.365 4.365 -7.632
Tb Dy Y Ho
4 2 10 2
direct
0.116 0.616 0.731
0.384 0.116 0.500
0.616 0.884 0.500
0.884 0.384 0.269
0.250 0.250 0.000
0.750 0.750 0.000
0.000 0.000 0.000
0.070 0.157 0.500
0.157 0.657 0.086
0.343 0.430 0.500
0.430 0.930 0.086
0.500 0.500 0.000
0.570 0.070 0.914
0.657 0.570 0.500
0.843 0.343 0.914
0.930 0.843 0.500
0.250 0.750 0.500
0.750 0.250 0.500
```

Computed properties:
The calculation puts the total magnetic moment at 0.000 μB per cell. The value obtained for the total energy is -5.3571 eV per atom. The calculation puts the formation enthalpy at 0 K at 0.283 eV/atom.

No. 2
The following is a PBE-GGA calculation of an optimized crystal structure of Tb6DyY2Ho, from Alexandria via LeMat-Bulk.

The structure in POSCAR format:
```
Tb6DyY2Ho
1.0
4.554 -7.527 0.000
4.554 7.527 0.000
-1.167 0.000 9.445
Tb Dy Y Ho
12 2 4 2
direct
0.017 0.568 0.186
0.122 0.754 0.556
0.246 0.878 0.944
0.291 0.509 0.381
0.432 0.983 0.314
0.491 0.709 0.119
0.509 0.291 0.881
0.568 0.017 0.686
0.709 0.491 0.619
0.754 0.122 0.056
0.878 0.246 0.444
0.983 0.432 0.814
0.026 0.974 0.250
0.974 0.026 0.750
0.199 0.301 0.045
0.301 0.199 0.545
0.699 0.801 0.455
0.801 0.699 0.955
0.409 0.591 0.750
0.591 0.409 0.250
```

Computed properties:
The calculation puts the total magnetic moment at 0.000 μB per cell. The value obtained for the total energy is -4.8656 eV per atom. The calculation puts the formation enthalpy at 0 K at 0.123 eV/atom.

No. 3
The following is a PBE-GGA calculation of an optimized crystal structure of Tb5DyY2Ho, from Alexandria via LeMat-Bulk.

The structure in POSCAR format:
```
Tb5DyY2Ho
1.0
2.806 -9.929 0.000
2.806 9.929 0.000
0.000 0.000 10.588
Tb Dy Y Ho
10 2 4 2
direct
0.019 0.981 0.500
0.282 0.718 0.786
0.299 0.701 0.183
0.391 0.609 0.499
0.480 0.520 0.216
0.520 0.480 0.716
0.609 0.391 0.999
0.701 0.299 0.683
0.718 0.282 0.286
0.981 0.019 0.000
0.413 0.587 0.935
0.587 0.413 0.435
0.110 0.890 0.213
0.114 0.886 0.795
0.886 0.114 0.295
0.890 0.110 0.713
0.201 0.799 0.487
0.799 0.201 0.987
```

Computed properties:
The calculation puts the total magnetic moment at 0.000 μB per cell. The value obtained for the total energy is -4.8786 eV per atom. The calculation puts the formation enthalpy at 0 K at 0.150 eV/atom.